Model A:
This record from Alexandria via LeMat-Bulk describes a geometry-optimized Na3CaAl3Si3SO16 structure. The functional is PBE-GGA.

```
27
Lattice="7.902 -0.011 0.003 -2.603 7.438 -0.041 2.492 3.788 6.398" Properties=species:S:1:pos:R:3 pbc="T T T"
Na 4.241 6.050 2.449
Na 3.135 0.016 0.022
Na 6.901 2.863 0.033
Ca -0.923 9.655 4.047
Al 1.282 7.470 3.197
Al 6.571 6.548 4.858
Al 1.284 4.659 1.581
Si 3.933 2.849 1.671
Si 6.573 3.702 3.240
Si 3.892 8.366 4.755
S 10.268 3.798 6.258
O 3.586 3.430 5.472
O 9.368 4.556 5.326
O 4.463 6.161 0.150
O 8.091 0.791 1.074
O 6.153 5.141 3.866
O 2.913 4.082 1.961
O 2.954 7.531 3.737
O 1.150 6.343 1.900
O 3.971 2.285 0.148
O 3.925 10.005 4.407
O 0.162 7.380 4.535
O 3.371 8.166 6.280
O 5.489 3.327 2.045
O 8.071 3.635 2.579
O 5.431 7.870 4.500
O 3.429 1.647 2.642
```

magnetic moment: 0.002 μB per atom

---

Model B:
This record from Alexandria via LeMat-Bulk describes a geometry-optimized Na3CaAl3Si3SO16 structure. The functional is PBE-GGA.

```
54
Lattice="9.097 -0.050 -0.050 -0.022 9.097 -0.050 -0.022 -0.022 9.097" Properties=species:S:1:pos:R:3 pbc="T T T"
Na 1.753 1.764 7.370
Na 1.769 7.376 1.724
Na 2.811 6.309 6.272
Na 6.301 2.791 6.289
Na 6.318 6.281 2.772
Na 7.381 1.729 1.741
Ca 2.831 2.822 2.813
Ca 7.357 7.334 7.311
Al 2.278 4.570 -0.013
Al 4.557 -0.007 6.812
Al 4.577 -0.005 2.263
Al 6.826 4.536 -0.028
Al 0.009 2.278 4.570
Al 0.007 6.826 4.536
Si 0.032 4.542 2.272
Si 2.286 0.025 4.535
Si 4.558 6.798 9.033
Si 4.543 2.272 0.011
Si 6.813 9.048 4.509
Si 9.069 4.530 6.770
S 8.963 8.935 8.907
S 4.437 4.423 4.409
O 0.478 3.213 3.143
O 0.389 5.941 6.007
O 0.766 0.763 0.761
O 0.141 7.544 0.088
O 1.225 4.092 7.744
O 1.394 4.955 1.458
O 1.478 1.389 4.951
O 1.324 7.864 4.036
O 3.155 0.468 3.204
O 3.191 8.634 5.736
O 3.215 3.145 0.458
O 3.298 5.862 8.585
O 4.660 2.959 4.665
O 2.974 4.680 4.636
O 4.065 1.311 7.852
O 4.096 7.748 1.188
O 4.960 1.462 1.374
O 5.005 7.666 7.702
O 4.689 4.646 2.944
O 5.292 5.276 5.259
O 5.774 3.172 8.616
O 5.943 6.008 0.352
O 6.027 0.370 5.922
O 5.872 8.595 3.253
O 7.761 1.201 4.068
O 7.681 7.717 4.956
O 7.742 4.980 7.642
O 7.868 4.040 1.287
O 0.112 0.141 7.543
O 7.544 0.088 0.117
O 8.614 3.271 5.835
O 8.644 5.746 3.145
```

magnetic moment: 0.002 μB per atom

---

Least stable structure: model A

---

Model A:
This record from Alexandria via LeMat-Bulk describes a geometry-optimized Ca3NbAl structure. The functional is PBE-GGA.

```
5
Lattice="5.530 0.000 0.000 0.000 5.530 0.000 0.000 0.000 5.530" Properties=species:S:1:pos:R:3 pbc="T T T"
Nb 0.000 0.000 0.000
Ca 0.000 2.765 0.000
Ca 0.000 0.000 2.765
Ca 2.765 0.000 0.000
Al 2.765 2.765 2.765
```

magnetic moment: 0.000 μB per atom

---

Model B:
This record from Alexandria via LeMat-Bulk describes a geometry-optimized Ca3NbAl structure. The functional is PBE-GGA.

```
5
Lattice="-4.415 -0.268 -3.650 -3.483 -1.449 4.320 -1.124 5.542 0.953" Properties=species:S:1:pos:R:3 pbc="T T T"
Nb -4.511 1.913 0.811
Ca -1.741 -0.724 2.160
Ca -0.562 2.771 0.476
Ca -2.208 -0.134 -1.825
Al 0.000 0.000 0.000
```

magnetic moment: 0.800 μB per atom

---

Least stable structure: model A

---

Model A:
This record from Alexandria via LeMat-Bulk describes a geometry-optimized CaNbAl3 structure. The functional is PBE-GGA.

```
5
Lattice="5.029 0.000 0.000 0.000 5.029 0.000 0.000 0.000 5.029" Properties=species:S:1:pos:R:3 pbc="T T T"
Nb 0.000 0.000 0.000
Ca 2.515 2.515 2.515
Al 0.000 2.515 0.000
Al 0.000 0.000 2.515
Al 2.515 0.000 0.000
```

magnetic moment: 0.000 μB per atom

---

Model B:
This record from Alexandria via LeMat-Bulk describes a geometry-optimized CaNbAl3 structure. The functional is PBE-GGA.

```
5
Lattice="-3.662 3.102 1.660 -1.862 -3.742 2.884 2.985 1.471 3.836" Properties=species:S:1:pos:R:3 pbc="T T T"
Nb -1.270 0.416 4.190
Ca 0.000 0.000 0.000
Al -0.931 -1.871 1.442
Al 1.493 0.736 1.918
Al -1.831 1.551 0.830
```

magnetic moment: 0.420 μB per atom

---

Least stable structure: model B

---

Model A:
This record from Alexandria via LeMat-Bulk describes a geometry-optimized CaNdAl structure. The functional is PBE-GGA.

```
6
Lattice="3.577 0.000 0.000 0.000 3.577 0.000 -1.788 -1.788 14.651" Properties=species:S:1:pos:R:3 pbc="T T T"
Ca 0.000 0.000 8.905
Ca 1.788 1.788 5.747
Al 0.000 0.000 3.762
Al 1.788 1.788 10.889
Nd 1.788 1.788 1.887
Nd 0.000 0.000 12.765
```

magnetic moment: 0.000 μB per atom

---

Model B:
This record from Alexandria via LeMat-Bulk describes a geometry-optimized CaNdAl structure. The functional is PBE-GGA.

```
3
Lattice="-1.137 3.288 -1.025 -2.784 0.421 4.441 4.982 1.677 -0.148" Properties=species:S:1:pos:R:3 pbc="T T T"
Ca -1.080 3.123 -0.973
Nd 1.973 2.473 1.003
Al -0.970 3.079 2.213
```

magnetic moment: 0.000 μB per atom

---

Model C:
This record from Alexandria via LeMat-Bulk describes a geometry-optimized CaNdAl structure. The functional is PBE-GGA.

```
6
Lattice="-1.091 3.289 3.935 -0.623 -1.850 4.867 7.758 0.953 1.353" Properties=species:S:1:pos:R:3 pbc="T T T"
Ca 2.003 2.233 3.930
Ca 4.039 0.159 6.226
Nd 6.141 2.741 4.651
Nd -0.099 -0.349 5.505
Al 4.973 3.147 7.481
Al 1.070 -0.756 2.675
```

magnetic moment: 0.000 μB per atom

---

Least stable structure: model B